No. 1
! PBE DyPaZnO6, optimized geometry; values from VASP
! Formation energy without anion corrections, eV/f.u.: -21.79
! Uncorrected energy, eV per atom: -7.43
! Density of states at the Fermi level, states/eV/f.u.: 9.60
! SG: P312
&SYSTEM
  ibrav = 0, nat = 9, ntyp = 4
/
ATOMIC_SPECIES
O 16.00 O.upf
Dy 162.50 Dy.upf
Zn 65.41 Zn.upf
Pa 231.04 Pa.upf
ATOMIC_POSITIONS crystal
O 0.742 0.023 0.332
Dy 0.500 0.667 0.333
O 0.742 0.668 0.691
Zn 0.500 0.000 0.000
O 0.258 0.023 0.691
O 0.258 0.668 0.977
Pa 0.000 0.333 0.667
O 0.258 0.309 0.332
O 0.742 0.309 0.977
CELL_PARAMETERS angstrom
-1.970 2.335 3.805
0.268 -4.542 2.926
4.146 3.475 0.014

=====

No. 2
! PBE Zr2TaPd9, optimized geometry; values from VASP
! Uncorrected energy, eV per atom: -6.93
! Density of states at the Fermi level, states/eV/f.u.: 8.48
! SG: P4/mmm
&SYSTEM
  ibrav = 0, nat = 12, ntyp = 3
/
ATOMIC_SPECIES
Pd 106.42 Pd.upf
Zr 91.22 Zr.upf
Ta 180.95 Ta.upf
ATOMIC_POSITIONS crystal
Pd 0.500 0.000 0.162
Zr 0.000 0.000 0.668
Pd 0.000 0.500 0.162
Pd 0.500 0.500 0.331
Ta 0.000 0.000 0.000
Pd 0.500 0.000 0.838
Pd 0.000 0.500 0.838
Zr 0.000 0.000 0.332
Pd 0.000 0.500 0.500
Pd 0.500 0.500 0.669
Pd 0.500 0.000 0.500
Pd 0.500 0.500 0.000
CELL_PARAMETERS angstrom
4.015 0.000 0.000
0.000 4.015 0.000
0.000 0.000 12.047

=====

No. 3
! PBE AlHgOs2, optimized geometry; values from VASP
! Uncorrected energy, eV per atom: -6.07
! Density of states at the Fermi level, states/eV/f.u.: 3.77
! SG: Cmm2
&SYSTEM
  ibrav = 0, nat = 4, ntyp = 3
/
ATOMIC_SPECIES
Os 190.23 Os.upf
Al 26.98 Al.upf
Hg 200.59 Hg.upf
ATOMIC_POSITIONS crystal
Os 0.000 0.000 0.023
Al 0.000 0.000 0.474
Os 0.500 0.500 0.251
Hg 0.500 0.500 0.751
CELL_PARAMETERS angstrom
-2.479 0.039 1.412
0.438 -1.835 -2.139
3.422 -6.395 6.187

=====

No. 4
! PBE Ca2BeSe, optimized geometry; values from VASP
! Formation energy without anion corrections, eV/f.u.: -2.28
! Uncorrected energy, eV per atom: -3.37
! Density of states at the Fermi level, states/eV/f.u.: 2.89
! SG: Amm2
&SYSTEM
  ibrav = 0, nat = 4, ntyp = 3
/
ATOMIC_SPECIES
Be 9.01 Be.upf
Ca 40.08 Ca.upf
Se 78.96 Se.upf
ATOMIC_POSITIONS crystal
Be 0.302 0.302 0.125
Ca 0.022 0.022 0.125
Se 0.442 0.442 0.625
Ca 0.735 0.735 0.625
CELL_PARAMETERS angstrom
5.856 -0.143 -0.135
4.266 4.015 -0.135
0.089 0.034 3.848

=====

No. 5
! PBE Na2Pm3Hg8, optimized geometry; values from VASP
! Uncorrected energy, eV per atom: -1.61
! Density of states at the Fermi level, states/eV/f.u.: 9.09
! SG: R-3m
&SYSTEM
  ibrav = 0, nat = 13, ntyp = 3
/
ATOMIC_SPECIES
Hg 200.59 Hg.upf
Na 22.99 Na.upf
Pm 145.00 Pm.upf
ATOMIC_POSITIONS crystal
Hg 0.287 0.287 0.138
Hg 0.778 0.274 0.673
Na 0.629 0.629 0.113
Hg 0.222 0.726 0.327
Pm 0.193 0.193 0.420
Hg 0.726 0.726 0.327
Pm 0.000 0.000 0.000
Hg 0.274 0.274 0.673
Na 0.371 0.371 0.887
Pm 0.807 0.807 0.580
Hg 0.274 0.778 0.673
Hg 0.726 0.222 0.327
Hg 0.713 0.713 0.862
CELL_PARAMETERS angstrom
-5.042 -2.927 -1.798
0.170 -6.008 -1.048
-4.327 -4.931 9.808

=====

No. 6
! PBE PuSnIrAu, optimized geometry; values from VASP
! Uncorrected energy, eV per atom: -7.87
! Density of states at the Fermi level, states/eV/f.u.: 9.41
! SG: F-43m
&SYSTEM
  ibrav = 0, nat = 4, ntyp = 4
/
ATOMIC_SPECIES
Pu 244.00 Pu.upf
Au 196.97 Au.upf
Sn 118.71 Sn.upf
Ir 192.22 Ir.upf
ATOMIC_POSITIONS crystal
Pu 0.500 0.500 0.500
Au 0.750 0.750 0.750
Sn 0.000 0.000 0.000
Ir 0.250 0.250 0.250
CELL_PARAMETERS angstrom
-3.647 0.697 3.170
0.593 -1.178 4.701
0.336 3.514 3.374

=====

No. 7
! PBE Th8Pt3Se4S, optimized geometry; values from VASP
! Formation energy without anion corrections, eV/f.u.: -23.14
! Uncorrected energy, eV per atom: -7.42
! Density of states at the Fermi level, states/eV/f.u.: 10.95
! SG: R-3m
&SYSTEM
  ibrav = 0, nat = 16, ntyp = 4
/
ATOMIC_SPECIES
Se 78.96 Se.upf
Th 232.04 Th.upf
Pt 195.08 Pt.upf
S 32.06 S.upf
ATOMIC_POSITIONS crystal
Se 0.500 0.000 0.500
Th 0.260 0.278 0.519
Th 0.740 0.722 0.481
Se 0.000 0.000 0.500
Pt 0.000 0.500 0.500
Th 0.252 0.265 0.008
Th 0.756 0.265 0.513
Se 0.500 0.000 0.000
Th 0.748 0.735 0.992
Th 0.244 0.735 0.487
Th 0.756 0.265 0.008
S 0.000 0.500 0.000
Se 0.000 0.000 0.000
Th 0.244 0.735 0.992
Pt 0.500 0.500 0.500
Pt 0.500 0.500 0.000
CELL_PARAMETERS angstrom
8.351 0.000 0.000
0.000 8.576 0.152
-4.176 -4.171 5.908

=====

No. 8
! PBE BaNiTe, optimized geometry; values from VASP
! Formation energy without anion corrections, eV/f.u.: -2.30
! Uncorrected energy, eV per atom: -4.38
! Density of states at the Fermi level, states/eV/f.u.: 1.06
! SG: Amm2
&SYSTEM
  ibrav = 0, nat = 6, ntyp = 3
/
ATOMIC_SPECIES
Ba 137.33 Ba.upf
Te 127.60 Te.upf
Ni 58.69 Ni.upf
ATOMIC_POSITIONS crystal
Ba 0.027 0.044 0.330
Te 0.527 0.961 0.909
Ni 0.527 0.234 0.635
Te 0.527 0.512 0.357
Ba 0.027 0.539 0.825
Ni 0.027 0.080 0.790
CELL_PARAMETERS angstrom
4.464 0.000 0.000
0.000 6.447 -0.005
0.000 0.267 6.446

=====

Look up the uncorrected energy of the fifth one.
-1.61 eV per atom